No. 1
# Dy2Be2GaPt5

An optimized crystal structure of Dy2Be2GaPt5 (PBE, Alexandria).

Results
* symmetry: No. 127
* formation enthalpy at 0 K: -987 meV per atom
* calculated volume: 318.9 Å³ per cell
* density of states at the Fermi level: 3.7 states/eV/f.u.
* theoretical density: 14.46 Mg/m³

Cell: 3.534 9.499 9.499 Å, 90.00 90.00 90.00°
Fractional coordinates of all 20 atoms:
Be 0.000 0.881 0.381
Pt 0.500 0.433 0.287
Pt 0.500 0.567 0.713
Be 0.000 0.381 0.119
Pt 0.500 0.500 0.000
Dy 0.000 0.178 0.322
Pt 0.500 0.213 0.067
Dy 0.000 0.822 0.678
Be 0.000 0.619 0.881
Ga 0.000 0.500 0.500
Pt 0.500 0.067 0.787
Pt 0.500 0.933 0.213
Dy 0.000 0.322 0.822
Pt 0.500 0.000 0.500
Dy 0.000 0.678 0.178
Pt 0.500 0.713 0.433
Ga 0.000 0.000 0.000
Be 0.000 0.119 0.619
Pt 0.500 0.287 0.567
Pt 0.500 0.787 0.933



No. 2
# BiTe2H2Pd7

An optimized crystal structure of BiTe2H2Pd7 (PBE, Alexandria).

Results
* symmetry: No. 12
* calculated volume: 191.7 Å³ per cell
* density of states at the Fermi level: 6.6 states/eV/f.u.
* theoretical density: 10.49 Mg/m³
* DFT total energy: -55.66 eV per formula unit

Cell: 4.171 4.171 11.533 Å, 77.88 77.88 88.78°
Fractional coordinates of all 12 atoms:
Pd 0.350 0.848 0.201
H 0.438 0.438 0.169
Bi 0.000 0.000 0.000
Pd 0.776 0.776 0.611
Pd 0.500 0.500 0.000
Pd 0.152 0.650 0.799
Te 0.763 0.763 0.377
Pd 0.848 0.350 0.201
Pd 0.650 0.152 0.799
Te 0.237 0.237 0.623
H 0.562 0.562 0.831
Pd 0.224 0.224 0.389



No. 3
# Mn2InCl

An optimized crystal structure of Mn2InCl (PBE, Alexandria).

Results
* raw formation energy: 0.36 eV/atom
* symmetry: No. 119
* calculated volume: 78.8 Å³ per cell
* density of states at the Fermi level: 2.3 states/eV/f.u.
* theoretical density: 5.49 Mg/m³
* energy above the most stable polymorph in this dataset: 0.3277 eV/atom

Cell: 5.986 5.986 5.986 Å, 142.56 142.56 53.99°
Site moments in Bohr magnetons follow the coordinates.
Fractional coordinates of all 4 atoms:
Cl 0.500 0.500 0.000  0.10
Mn 0.250 0.750 0.500  3.60
In 0.750 0.250 0.500  -0.15
Mn 0.000 0.000 0.000  4.02



No. 4
# KLaSCl

An optimized crystal structure of KLaSCl (PBE, Alexandria).

Results
* raw formation energy: -1.76 eV/atom
* symmetry: No. 160
* calculated volume: 115.8 Å³ per cell
* density of states at the Fermi level: 2.6 states/eV/f.u.
* theoretical density: 3.52 Mg/m³

Cell: 4.128 4.127 8.203 Å, 90.00 104.58 119.99°
Fractional coordinates of all 4 atoms:
La 0.121 0.959 0.095
K 0.485 0.141 0.641
S 0.319 0.557 0.891
Cl 0.953 0.374 0.343